1.
K2CaZnBr6 | PBE-GGA | optimized geometry

Theoretical density in g/cm³: 3.4
N(E_F) in states/eV/atom: 0.000
Total magnetization in μB/f.u.: 0.00
Space-group type: R-3
Energy relative to the elements, uncorrected in eV per atom: -1.517

Unit cell a=7.7554 b=7.7549 c=7.6264 alpha=59.42 beta=59.44 gamma=59.99
Last column: nearest neighbours and their distance in Å.
Sites, in units of the cell vectors:
K 0.5523 0.5522 0.3435  6 Br 3.31-3.61
K 0.0801 0.0800 0.7597  6 Br 3.31-3.61
Ca 0.8162 0.8161 0.5516  6 Br 2.90
Zn 0.3162 0.3162 0.0513  6 Br 2.66
Br 0.5493 0.1528 0.2957  1 Zn 2.66, 1 Ca 2.90
Br 0.1526 0.0024 0.2959  1 Zn 2.66, 1 Ca 2.90
Br 0.0023 0.5498 0.2953  1 Zn 2.66, 1 Ca 2.90
Br 0.4797 0.6299 0.8071  1 Zn 2.66, 1 Ca 2.90
Br 0.6300 0.0826 0.8078  1 Zn 2.66, 1 Ca 2.90
Br 0.0831 0.4795 0.8074  1 Zn 2.66, 1 Ca 2.90


2.
CaLaBr | PBE-GGA | optimized geometry

Theoretical density in g/cm³: 3.7
N(E_F) in states/eV/atom: 1.564
Total magnetization in μB/f.u.: 0.00
Polymorph energy (0 for the lowest one) in meV per atom: 1012
Space-group type: F-43m
Energy relative to the elements, uncorrected in eV per atom: 0.158

Unit cell a=5.4661 b=5.4661 c=5.4661 alpha=60.00 beta=60.00 gamma=60.00
Last column: nearest neighbours and their distance in Å.
Sites, in units of the cell vectors:
Ca 0.5000 0.5000 0.5000  4 La 3.35
Br 0.0000 0.0000 0.0000  4 La 3.35
La 0.7500 0.7500 0.7500  4 Br 3.35, 4 Ca 3.35


3.
Ca2LaBr | PBE-GGA | optimized geometry

Theoretical density in g/cm³: 3.5
N(E_F) in states/eV/atom: 1.284
Total magnetization in μB/f.u.: 0.01
Polymorph energy (0 for the lowest one) in meV per atom: 437
Space-group type: I4/mmm
Energy relative to the elements, uncorrected in eV per atom: -0.248

Unit cell a=7.1854 b=7.1854 c=7.1854 alpha=141.60 beta=141.60 gamma=55.43
Last column: nearest neighbours and their distance in Å.
Sites, in units of the cell vectors:
Ca 0.0000 0.0000 0.0000  4 Ca 3.34
Ca 0.5000 0.5000 0.0000  4 Ca 3.34
Br 0.7500 0.2500 0.5000  4 La 3.34
La 0.2500 0.7500 0.5000  4 Br 3.34


4.
Ca2LaBr | PBE-GGA | optimized geometry

Theoretical density in g/cm³: 3.1
N(E_F) in states/eV/atom: 1.066
Total magnetization in μB/f.u.: 0.50
Polymorph energy (0 for the lowest one) in meV per atom: 256
Space-group type: Pm
Energy relative to the elements, uncorrected in eV per atom: -0.429

Unit cell a=6.0127 b=3.7746 c=7.3258 alpha=74.82 beta=90.00 gamma=90.00
Last column: nearest neighbours and their distance in Å.
Sites, in units of the cell vectors:
Ca 0.0000 0.9176 0.0366  3 La 3.58-3.97, 6 Ca 3.77-3.99
Ca 0.5000 0.2935 0.2909  2 Br 3.05
Br 0.5000 0.6212 0.6301  2 Ca 3.05, 2 La 3.07
La 0.0000 0.6677 0.5424  2 Br 3.07


5.
Ca2LaBr | PBE-GGA | optimized geometry

Theoretical density in g/cm³: 3.3
N(E_F) in states/eV/atom: 1.067
Total magnetization in μB/f.u.: 2.06
Polymorph energy (0 for the lowest one) in meV per atom: 730
Space-group type: Fm-3m
Energy relative to the elements, uncorrected in eV per atom: 0.044

Unit cell a=5.9883 b=5.9883 c=5.9883 alpha=60.00 beta=60.00 gamma=60.00
Last column: nearest neighbours and their distance in Å.
Sites, in units of the cell vectors:
Ca 0.2500 0.2500 0.2500  4 La 3.67, 4 Br 3.67
Ca 0.7500 0.7500 0.7500  4 La 3.67, 4 Br 3.67
Br 0.0000 0.0000 0.0000  8 Ca 3.67
La 0.5000 0.5000 0.5000  8 Ca 3.67


6.
CaLaBr | PBE-GGA | optimized geometry

Theoretical density in g/cm³: 4.4
N(E_F) in states/eV/atom: 1.118
Total magnetization in μB/f.u.: 0.18
Polymorph energy (0 for the lowest one) in meV per atom: 56
Space-group type: P-6m2
Energy relative to the elements, uncorrected in eV per atom: -0.798

Unit cell a=3.8341 b=3.8339 c=15.5116 alpha=90.00 beta=90.00 gamma=120.00
Last column: nearest neighbours and their distance in Å.
Sites, in units of the cell vectors:
Ca 0.6110 0.2220 0.0000  6 Br 3.06
Ca 0.2780 0.5559 0.5000  6 Ca 3.83, 6 La 3.91-3.92
La 0.6111 0.2221 0.2918  3 Br 3.27
La 0.6111 0.2221 0.7082  3 Br 3.27
Br 0.2777 0.5555 0.8637  3 Ca 3.06, 3 La 3.27
Br 0.2777 0.5555 0.1363  3 Ca 3.06, 3 La 3.27


7.
Ca2LaBr | PBE-GGA | optimized geometry

Theoretical density in g/cm³: 3.6
N(E_F) in states/eV/atom: 1.122
Total magnetization in μB/f.u.: 0.00
Polymorph energy (0 for the lowest one) in meV per atom: 170
Space-group type: P4mm
Energy relative to the elements, uncorrected in eV per atom: -0.515

Unit cell a=3.6877 b=3.6877 c=10.2828 alpha=90.00 beta=90.00 gamma=90.00
Last column: nearest neighbours and their distance in Å.
Sites, in units of the cell vectors:
Ca 0.0000 0.0000 0.9645  4 Br 3.44, 4 Ca 3.69
Ca 0.5000 0.5000 0.2489  8 Ca 3.69-3.92, 4 La 3.98
Br 0.5000 0.5000 0.7458  4 La 3.35, 4 Ca 3.44, 4 Br 3.69
La 0.0000 0.0000 0.5408  4 Br 3.35, 4 La 3.69


8.
Ca2LaBr | PBE-GGA | optimized geometry

Theoretical density in g/cm³: 3.5
N(E_F) in states/eV/atom: 1.062
Total magnetization in μB/f.u.: 0.00
Polymorph energy (0 for the lowest one) in meV per atom: 357
Space-group type: C2/m
Energy relative to the elements, uncorrected in eV per atom: -0.328

Unit cell a=6.4868 b=6.4868 c=3.7502 alpha=89.84 beta=89.84 gamma=114.75
Last column: nearest neighbours and their distance in Å.
Sites, in units of the cell vectors:
Ca 0.0000 0.0000 0.0000  4 Ca 3.50-3.75, 4 Br 3.74-3.75, 4 La 3.74-3.75
Ca 0.5000 0.5000 0.0000  4 Ca 3.50-3.75, 4 La 3.74-3.75, 4 Br 3.74-3.75
Br 0.0000 0.5000 0.5000  2 La 3.50, 8 Ca 3.74-3.75, 2 Br 3.75
La 0.5000 0.0000 0.5000  2 Br 3.50, 8 Ca 3.74-3.75, 2 La 3.75


9.
CaLaBr | PBE-GGA | optimized geometry

Theoretical density in g/cm³: 4.3
N(E_F) in states/eV/atom: 1.626
Total magnetization in μB/f.u.: 0.30
Polymorph energy (0 for the lowest one) in meV per atom: 442
Space-group type: F-43m
Energy relative to the elements, uncorrected in eV per atom: -0.412

Unit cell a=5.2138 b=5.2138 c=5.2138 alpha=60.00 beta=60.00 gamma=60.00
Last column: nearest neighbours and their distance in Å.
Sites, in units of the cell vectors:
Ca 0.0000 0.0000 0.0000  4 Br 3.19
Br 0.7500 0.7500 0.7500  4 La 3.19, 4 Ca 3.19
La 0.5000 0.5000 0.5000  4 Br 3.19


10.
Ca2LaBr | PBE-GGA | optimized geometry

Theoretical density in g/cm³: 3.5
N(E_F) in states/eV/atom: 1.037
Total magnetization in μB/f.u.: 0.00
Polymorph energy (0 for the lowest one) in meV per atom: 289
Space-group type: P2/m
Energy relative to the elements, uncorrected in eV per atom: -0.396

Unit cell a=5.4279 b=4.0721 c=6.8261 alpha=71.19 beta=90.00 gamma=90.00
Last column: nearest neighbours and their distance in Å.
Sites, in units of the cell vectors:
Ca 0.0000 0.8593 0.9829  2 Br 3.25, 2 Ca 3.46-3.57
Ca 0.0000 0.6407 0.5171  2 Br 3.25, 2 Ca 3.46-3.57
Br 0.5000 0.7500 0.7500  4 Ca 3.25, 2 La 3.36
La 0.5000 0.2500 0.2500  2 Br 3.36, 4 Ca 3.73


11.
CaLaBr | PBE-GGA | optimized geometry

Theoretical density in g/cm³: 4.3
N(E_F) in states/eV/atom: 0.457
Total magnetization in μB/f.u.: 0.00
Polymorph energy (0 for the lowest one) in meV per atom: 50
Space-group type: Fmm2
Energy relative to the elements, uncorrected in eV per atom: -0.804

Unit cell a=8.4652 b=8.1062 c=3.7611 alpha=82.28 beta=71.60 gamma=26.12
Last column: nearest neighbours and their distance in Å.
Sites, in units of the cell vectors:
Ca 0.6502 0.6502 0.3498  2 Br 3.04
Br 0.0056 0.0056 0.9944  2 Ca 3.04, 2 La 3.24
La 0.3442 0.3442 0.6558  2 Br 3.24


12.
Ca2LaBr | PBE-GGA | optimized geometry

Theoretical density in g/cm³: 3.6
N(E_F) in states/eV/atom: 0.769
Total magnetization in μB/f.u.: 0.00
Polymorph energy (0 for the lowest one) in meV per atom: 0
Space-group type: R-3m
Energy relative to the elements, uncorrected in eV per atom: -0.685

Unit cell a=10.8819 b=10.8819 c=10.8819 alpha=20.45 beta=20.45 gamma=20.45
Last column: nearest neighbours and their distance in Å.
Sites, in units of the cell vectors:
Ca 0.0125 0.0125 0.0125  3 Br 3.18
Ca 0.4875 0.4875 0.4875  3 Br 3.18
Br 0.7500 0.7500 0.7500  6 Ca 3.18
La 0.2500 0.2500 0.2500  6 Ca 3.79, 6 La 3.86


13.
Ca2LaBr | PBE-GGA | optimized geometry

Theoretical density in g/cm³: 3.6
N(E_F) in states/eV/atom: 0.582
Total magnetization in μB/f.u.: 0.00
Polymorph energy (0 for the lowest one) in meV per atom: 51
Space-group type: Cmmm
Energy relative to the elements, uncorrected in eV per atom: -0.634

Unit cell a=3.7631 b=3.7631 c=10.7720 alpha=90.00 beta=90.00 gamma=113.63
Last column: nearest neighbours and their distance in Å.
Sites, in units of the cell vectors:
Ca 0.0000 0.0000 0.9663  2 Br 3.11
Ca 0.0000 0.0000 0.5337  2 Br 3.11
Br 0.5000 0.5000 0.7500  4 Ca 3.11
La 0.5000 0.5000 0.2500  4 Ca 3.69, 6 La 3.76-4.12


14.
CaLa3Br | PBE-GGA | optimized geometry

Theoretical density in g/cm³: 4.2
N(E_F) in states/eV/atom: 1.763
Total magnetization in μB/f.u.: 0.00
Polymorph energy (0 for the lowest one) in meV per atom: 947
Space-group type: Pm-3m
Energy relative to the elements, uncorrected in eV per atom: 0.576

Unit cell a=5.9781 b=5.9781 c=5.9781 alpha=90.00 beta=90.00 gamma=90.00
Last column: nearest neighbours and their distance in Å.
Sites, in units of the cell vectors:
Ca 0.0000 0.0000 0.0000  6 La 2.99
Br 0.5000 0.5000 0.5000  12 La 4.23
La 0.0000 0.5000 0.0000  2 Ca 2.99
La 0.0000 0.0000 0.5000  2 Ca 2.99
La 0.5000 0.0000 0.0000  2 Ca 2.99


15.
Ca4LaBr | PBE-GGA | optimized geometry

Theoretical density in g/cm³: 2.5
N(E_F) in states/eV/atom: 1.810
Total magnetization in μB/f.u.: 1.63
Space-group type: F-43m
Energy relative to the elements, uncorrected in eV per atom: 0.108

Unit cell a=7.0932 b=7.0932 c=7.0932 alpha=60.00 beta=60.00 gamma=60.00
Last column: nearest neighbours and their distance in Å.
Sites, in units of the cell vectors:
Ca 0.8696 0.3768 0.3768  6 Ca 3.50-3.60
Ca 0.3768 0.3768 0.8696  6 Ca 3.50-3.60
Ca 0.3768 0.8696 0.3768  6 Ca 3.50-3.60
Ca 0.3768 0.3768 0.3768  6 Ca 3.50-3.60
La 0.7500 0.7500 0.7500  12 Ca 4.15, 4 Br 4.34
Br 0.0000 0.0000 0.0000  12 Ca 4.16, 4 La 4.34